Li5ZrCd6, optimized geometry, DFT GGA-PBE; formation energy from the elements = -0.192 eV per atom
1.0
-2.622 3.935 0.355
-5.743 -3.730 -1.077
-1.932 0.929 7.090
Li Cd Zr
5 6 1
Direct
0.000 0.500 0.000
0.668 0.000 0.664
0.663 0.500 0.674
0.332 0.000 0.336
0.337 0.500 0.326
0.831 0.262 0.338
0.831 0.738 0.338
0.169 0.738 0.662
0.500 0.260 0.000
0.500 0.740 0.000
0.169 0.262 0.662
0.000 0.000 0.000